Computed, not measured: a relaxed structure of Li2NpCl2O2 at the GGA-PBE level of DFT.

Results
SG	C2/m
total energy	-6.48	eV per atom
total magnetic moment	3.000	μB/cell

Structure (POSCAR):
```
Li2NpCl2O2
1.0
-1.771 -3.302 0.793
1.387 -1.459 6.274
-4.019 1.172 5.155
Li Np Cl O
2 1 2 2
Direct
0.259 0.325 0.157
0.741 0.675 0.843
0.000 0.000 0.000
0.605 0.167 0.624
0.395 0.833 0.376
0.157 0.691 0.995
0.843 0.309 0.005
```

---

Computed, not measured: a relaxed structure of Li2Np2Cl2O5 at the GGA-PBE level of DFT.

Results
SG	I4/mmm
total energy	-7.67	eV per atom
total magnetic moment	4.000	μB/cell

Structure (POSCAR):
```
Li2Np2Cl2O5
1.0
-2.988 -1.269 -2.658
2.932 -0.924 -2.856
0.771 -9.294 6.882
Li Np Cl O
2 2 2 5
Direct
0.334 0.334 0.667
0.666 0.666 0.333
0.093 0.093 0.185
0.907 0.907 0.815
0.212 0.212 0.423
0.788 0.788 0.577
0.000 0.000 0.000
0.605 0.105 0.210
0.895 0.395 0.790
0.105 0.605 0.210
0.395 0.895 0.790
```

---

Computed, not measured: a relaxed structure of LiNpPbCl6 at the GGA-PBE level of DFT.

Results
SG	P-31c
total energy	-4.83	eV per atom
total magnetic moment	8.000	μB/cell

Structure (POSCAR):
```
LiNpPbCl6
1.0
-3.329 3.626 4.783
2.312 -6.295 1.457
10.983 4.937 3.902
Li Np Pb Cl
2 2 2 12
Direct
0.333 0.667 0.250
0.667 0.333 0.750
0.667 0.333 0.250
0.333 0.667 0.750
0.000 0.000 0.000
0.000 0.000 0.500
0.642 0.655 0.132
0.013 0.358 0.132
0.358 0.013 0.632
0.987 0.642 0.868
0.345 0.358 0.368
0.013 0.655 0.368
0.655 0.013 0.868
0.642 0.987 0.368
0.987 0.345 0.632
0.345 0.987 0.132
0.655 0.642 0.632
0.358 0.345 0.868
```

---

Computed, not measured: a relaxed structure of Li2NpPbCl8 at the GGA-PBE level of DFT.

Results
SG	P-1
total energy	-4.50	eV per atom
total magnetic moment	3.000	μB/cell

Structure (POSCAR):
```
Li2NpPbCl8
1.0
-3.703 3.609 -4.622
-4.723 -3.745 2.704
-3.163 6.923 3.981
Li Np Pb Cl
2 1 1 8
Direct
0.360 0.540 0.674
0.640 0.460 0.326
0.000 0.000 0.000
0.000 0.000 0.500
0.214 0.879 0.171
0.750 0.647 0.064
0.776 0.133 0.281
0.786 0.121 0.829
0.250 0.353 0.936
0.224 0.867 0.719
0.723 0.611 0.552
0.277 0.389 0.448
```